First-principles (GGA-PBE) data for a relaxed BaTe3Pt crystal, as listed in the Alexandria database. Values from VASP.

```
&SYSTEM
  ibrav = 0, nat = 5, ntyp = 3
/
ATOMIC_SPECIES
Ba 137.33 Ba.upf
Te 127.60 Te.upf
Pt 195.08 Pt.upf
CELL_PARAMETERS angstrom
5.449 0.000 0.000
0.000 5.449 0.000
0.000 0.000 5.449
ATOMIC_POSITIONS crystal
Ba 0.000 0.000 0.000
Te 0.000 0.500 0.500
Te 0.500 0.000 0.500
Te 0.500 0.500 0.000
Pt 0.500 0.500 0.500
```

Results
* magnetization: 0.0 μB per formula unit
* formation energy without anion corrections: -0.62 eV/atom